No. 1
Li2WSe: PBEsol geometry, SCAN.

The value obtained for the volume is 14.4 Å³/atom. As for the density: 7985 kg/m³. Its total DFT energy (no corrections) is -23.419 eV/atom. The calculation puts the energy relative to the elements, uncorrected at 217 meV/atom.

The space group is P4/mmm (No. 123) and the conventional cell measures 3.421, 3.421 and 4.918 Å, with angles of 90.00, 90.00 and 90.00 degrees. The distinct sites, in fractional coordinates, are Li at (0.000, 0.000, 0.242), W at (0.500, 0.500, 0.500) and Se at (0.500, 0.500, 0.000).

No. 2
LiWSe2: PBEsol geometry, SCAN.

The value obtained for the volume is 16.4 Å³/atom. As for the density: 8853 kg/m³. Its total DFT energy (no corrections) is -28.313 eV/atom. The calculation puts the energy relative to the elements, uncorrected at -254 meV/atom.

The space group is P4/mmm (No. 123) and the conventional cell measures 3.126, 3.126 and 6.694 Å, with angles of 90.00, 90.00 and 90.00 degrees. The distinct sites, in fractional coordinates, are Li at (0.000, 0.000, 0.000), W at (0.000, 0.000, 0.500) and Se at (0.500, 0.500, 0.274).